# V4TcW

A relaxed V4TcW crystal (GGA-PBE, Alexandria).

Computed properties:
Crystal system: cubic
M_tot in μB per cell: 0.001
Formation energy in eV per atom: 0.014
Volume in Å³/cell: 84.4

Lattice parameters (Å, degrees): 4.924 4.924 4.924 60.00 60.00 60.00
Sites, in units of the cell vectors:
V  0.625  0.125  0.625
V  0.625  0.625  0.125
V  0.125  0.625  0.625
V  0.625  0.625  0.625
Tc  0.000  0.000  0.000
W  0.250  0.250  0.250

# PrFe2C3

A relaxed PrFe2C3 crystal (GGA-PBE, Alexandria).

Computed properties:
Crystal system: orthorhombic
M_tot in μB per cell: 1.259
Formation energy in eV per atom: -0.044
Volume in Å³/cell: 147.9

Lattice parameters (Å, degrees): 4.838 6.554 5.701 125.09 90.00 90.00
Last column: magnetic moment on the atom in μB.
Sites, in units of the cell vectors:
C  0.750  0.464  0.139  0.00
C  0.250  0.536  0.861  0.00
C  0.750  0.920  0.840  -0.02
C  0.250  0.080  0.160  -0.02
C  0.250  0.325  0.861  0.00
C  0.750  0.675  0.139  0.00
Fe  0.000  0.190  0.000  0.32
Fe  0.500  0.810  0.000  0.32
Fe  0.000  0.810  0.000  0.32
Fe  0.500  0.190  0.000  0.32
Pr  0.250  0.715  0.429  0.00
Pr  0.750  0.285  0.571  0.00

# K2Se4O

A relaxed K2Se4O crystal (GGA-PBE, Alexandria).

Computed properties:
Crystal system: monoclinic
M_tot in μB per cell: 0.000
Uncorrected energy in eV per cell: -52.41
Volume in Å³/cell: 439.9

Lattice parameters (Å, degrees): 6.383 6.383 10.829 87.98 87.98 86.53
Sites, in units of the cell vectors:
Se  0.670  0.513  0.579
Se  0.125  0.041  0.853
Se  0.482  0.671  0.300
Se  0.671  0.482  0.800
Se  0.513  0.670  0.079
Se  0.755  0.111  0.856
Se  0.111  0.755  0.356
Se  0.041  0.125  0.353
K  0.555  0.023  0.566
K  0.023  0.555  0.066
K  0.571  0.158  0.165
K  0.158  0.571  0.665
O  0.210  0.980  0.702
O  0.980  0.210  0.202